1.
Density functional theory data (PBE) for a relaxed ThPa3 crystal.

relative energy among the computed polymorphs: 215 meV/atom
magnetization: 0.00 μB/cell
ΔH_f (0 K): 0.2836 eV per atom
crystal system: cubic

a = 7.515 Å, b = 7.515 Å, c = 7.515 Å
α = 90.00°, β = 90.00°, γ = 90.00°
Space group Fm-3m (No. 225)
Asymmetric unit:
Th  0.000  0.000  0.000 [4 per cell]
Pa  0.000  0.000  0.500 [4 per cell]
Pa  0.250  0.250  0.250 [8 per cell]


2.
Density functional theory data (PBE) for a relaxed ThPa3 crystal.

relative energy among the computed polymorphs: 0 meV/atom
magnetization: 0.00 μB/cell
ΔH_f (0 K): 0.0683 eV per atom
crystal system: orthorhombic

a = 3.358 Å, b = 4.665 Å, c = 6.795 Å
α = 90.00°, β = 90.00°, γ = 90.00°
Space group Pmmm (No. 47)
Asymmetric unit:
Th  0.000  0.000  0.000 [1 per cell]
Pa  0.000  0.000  0.500 [1 per cell]
Pa  0.500  0.500  0.255 [2 per cell]